The following is a SCAN calculation of MnSiAg2 at its PBEsol-relaxed geometry, from Alexandria via LeMat-Bulk.

raw formation energy = 0.08 eV/atom
relative energy among the computed polymorphs = 0 meV per atom
crystal system = monoclinic
E_tot = -22.676 eV per atom
symmetry = C2/m

Cell lengths 2.787, 4.653, 4.891 Å; angles 99.51, 106.56, 90.00 degrees
Fractional coordinates of all 4 atoms:
Ag: 0.254 0.251 0.507
Ag: 0.746 0.749 0.493
Mn: 0.500 0.000 0.000
Si: 0.000 0.500 0.000